The following is a PBE-GGA calculation of a relaxed structure of CdSnH, from Alexandria via LeMat-Bulk.

As for the energy above the most stable polymorph in this dataset: 0.000 eV per atom.

The structure belongs to space group P2_1/c (No. 14); the cell edges are 9.264, 3.909 and 9.214 Å and the angles 90.00°, 99.22° and 90.00°. Symmetry generates all atoms from Cd at (0.159, 0.249, 0.029), Sn at (0.137, 0.747, 0.275) and H at (0.461, 0.518, 0.984).